(1)
DFT (PBEsol) results for a geometry-optimized Hf3MgH structure.

```
5
Lattice="4.396 0.000 0.000 0.000 4.396 0.000 0.000 0.000 4.396" Properties=species:S:1:pos:R:3 pbc="T T T"
Hf 0.000 0.000 2.198
Hf 0.000 2.198 0.000
Hf 2.198 0.000 0.000
Mg 2.198 2.198 2.198
H 0.000 0.000 0.000
```

Values from the calculation:
raw total energy: -7.401 eV/atom

---

(2)
DFT (PBEsol) results for a geometry-optimized IrRh2Cl structure.

```
4
Lattice="2.765 0.000 0.000 0.000 3.456 0.000 0.000 0.000 6.394" Properties=species:S:1:pos:R:3 pbc="T T T"
Ir 0.000 0.000 0.000
Rh 1.382 1.728 1.377
Rh 1.382 1.728 5.018
Cl 1.382 0.000 3.197
```

Values from the calculation:
uncorrected formation energy: 0.291 eV per atom

---

(3)
DFT (PBEsol) results for a geometry-optimized LiTiSbTe2 structure.

```
5
Lattice="5.094 0.000 0.000 0.000 5.094 0.000 0.000 0.000 4.665" Properties=species:S:1:pos:R:3 pbc="T T T"
Li 0.000 0.000 0.000
Ti 2.547 2.547 2.332
Sb 0.000 0.000 2.332
Te 0.000 2.547 0.000
Te 2.547 0.000 0.000
```

Values from the calculation:
uncorrected formation energy: 0.378 eV per atom

---

(4)
DFT (PBEsol) results for a geometry-optimized CaY2PdC structure.

```
5
Lattice="4.775 0.000 0.000 0.000 4.775 0.000 0.000 0.000 4.878" Properties=species:S:1:pos:R:3 pbc="T T T"
Ca 0.000 0.000 0.000
Y 0.000 2.387 2.439
Y 2.387 0.000 2.439
Pd 2.387 2.387 0.000
C 0.000 0.000 2.439
```

Values from the calculation:
energy of formation: -245 meV per atom

---

(5)
DFT (PBEsol) results for a geometry-optimized GaB3F structure.

```
5
Lattice="3.793 0.000 0.000 0.000 3.793 0.000 0.000 0.000 3.793" Properties=species:S:1:pos:R:3 pbc="T T T"
Ga 0.000 0.000 0.000
B 0.000 1.897 1.897
B 1.897 0.000 1.897
B 1.897 1.897 0.000
F 1.897 1.897 1.897
```

Values from the calculation:
uncorrected formation energy: 1.735 eV per atom

---

(6)
DFT (PBEsol) results for a geometry-optimized Si2HgAs2 structure.

```
5
Lattice="-2.368 2.368 4.237 2.368 -2.368 4.237 2.368 2.368 -4.237" Properties=species:S:1:pos:R:3 pbc="T T T"
Si 0.000 0.000 1.209
Si 0.000 0.000 7.265
Hg 0.000 0.000 4.237
As 2.368 0.000 2.118
As 0.000 2.368 2.118
```

Values from the calculation:
uncorrected formation energy: 0.137 eV per atom

---

(7)
DFT (PBEsol) results for a geometry-optimized CrAs2Cl structure.

```
4
Lattice="4.436 -1.446 0.000 4.436 1.446 0.000 -1.636 0.000 6.633" Properties=species:S:1:pos:R:3 pbc="T T T"
Cr 0.000 0.000 0.000
As 4.719 0.000 2.157
As 6.423 0.000 0.498
Cl 2.365 0.000 4.920
```

Values from the calculation:
uncorrected formation energy: -0.140 eV per atom

---

(8)
DFT (PBEsol) results for a geometry-optimized Sr3LaPt structure.

```
5
Lattice="5.695 0.000 0.000 0.000 5.695 0.000 0.000 0.000 5.695" Properties=species:S:1:pos:R:3 pbc="T T T"
Sr 0.000 0.000 2.847
Sr 0.000 2.847 0.000
Sr 2.847 0.000 0.000
La 0.000 0.000 0.000
Pt 2.847 2.847 2.847
```

Values from the calculation:
energy of formation: 1219 meV per atom

---

(9)
DFT (PBEsol) results for a geometry-optimized SrCo2Te structure.

```
4
Lattice="0.000 3.396 3.396 3.396 0.000 3.396 3.396 3.396 0.000" Properties=species:S:1:pos:R:3 pbc="T T T"
Sr 0.000 0.000 0.000
Co 1.698 1.698 1.698
Co 3.396 3.396 3.396
Te 5.093 5.093 5.093
```

Values from the calculation:
uncorrected formation energy: 0.563 eV per atom

---

(10)
DFT (PBEsol) results for a geometry-optimized Al2OsAuI structure.

```
5
Lattice="4.744 0.000 0.000 0.000 4.744 0.000 0.000 0.000 5.220" Properties=species:S:1:pos:R:3 pbc="T T T"
Al 0.000 2.372 0.000
Al 2.372 0.000 0.000
Os 0.000 0.000 0.000
Au 2.372 2.372 2.610
I 0.000 0.000 2.610
```

Values from the calculation:
uncorrected formation energy: 0.682 eV per atom

---

(11)
DFT (PBEsol) results for a geometry-optimized Lu2C structure.

```
3
Lattice="1.730 0.999 5.820 -1.730 0.999 5.820 0.000 -1.998 5.820" Properties=species:S:1:pos:R:3 pbc="T T T"
Lu 0.000 0.000 4.206
Lu 0.000 0.000 13.252
C 0.000 0.000 8.729
```

Values from the calculation:
energy of formation: -406 meV per atom

---

(12)
DFT (PBEsol) results for a geometry-optimized ZrTaAu structure.

```
3
Lattice="0.000 2.080 6.454 2.064 0.000 6.454 2.064 2.080 0.000" Properties=species:S:1:pos:R:3 pbc="T T T"
Zr 0.000 0.000 0.000
Ta 2.064 2.080 4.231
Au 2.064 2.080 8.659
```

Values from the calculation:
energy of formation: -213 meV per atom